Nb2AlTe, optimized geometry, DFT PBE; volume = 74.5 Å³/cell; formation energy from raw total energies = 0.07 eV/atom; density of states at the Fermi level = 3.63 states/eV per cell; energy above the lowest structure with this stoichiometry = 0.000 eV/atom; crystal system = cubic
1.0
0.0000 3.3402 3.3402
3.3402 0.0000 3.3402
3.3402 3.3402 0.0000
Te Al Nb
1 1 2
Direct
0.5000 0.5000 0.5000
0.0000 0.0000 0.0000
0.2500 0.2500 0.2500
0.7500 0.7500 0.7500



Er13Zn2, optimized geometry, DFT PBE; volume = 426.1 Å³/cell; density of states at the Fermi level = 21.83 states/eV per cell; formation enthalpy at 0 K = -41 meV per atom; crystal system = triclinic
1.0
6.4946 -0.1250 0.9088
-0.9614 8.2439 0.2413
0.5668 -3.7471 7.8841
Er Zn
13 2
Direct
0.3090 0.3390 0.9661
0.7598 0.9466 0.4284
0.1208 0.5223 0.7308
0.8792 0.4777 0.2692
0.0000 0.0000 0.0000
0.1944 0.7656 0.1467
0.4947 0.1418 0.2068
0.8056 0.2344 0.8533
0.6410 0.4109 0.6102
0.2402 0.0534 0.5716
0.3590 0.5891 0.3898
0.5053 0.8582 0.7932
0.6910 0.6610 0.0339
0.9418 0.7672 0.6192
0.0582 0.2328 0.3808



BaSi2W, optimized geometry, DFT PBE; volume = 92.8 Å³/cell; formation energy from raw total energies = 0.00 eV/atom; density of states at the Fermi level = 2.80 states/eV per cell; energy above the lowest structure with this stoichiometry = 0.000 eV/atom; crystal system = monoclinic
1.0
4.5325 0.0014 -0.0038
3.0626 3.3412 -0.0038
1.6875 0.7427 6.1267
Si W Ba
2 1 1
Direct
0.5259 0.5259 0.3658
0.9741 0.9741 0.1342
0.2500 0.2500 0.2500
0.7500 0.7500 0.7500



Ce2Ho2Tl5, optimized geometry, DFT PBE; volume = 520.2 Å³/cell; density of states at the Fermi level = 27.49 states/eV per cell; formation enthalpy at 0 K = -140 meV per atom; crystal system = orthorhombic
1.0
-7.0158 5.4437 -2.2794
-3.6940 -2.9118 4.4156
7.9421 4.5925 4.9596
Ce Ho Tl
4 4 10
Direct
0.4852 0.0453 0.1283
0.5148 0.9170 0.8717
0.1431 0.5453 0.1283
0.8569 0.4170 0.8717
0.5000 0.4812 0.0000
0.0000 0.9812 0.0000
0.9265 0.7318 0.5000
0.0735 0.2318 0.5000
0.7042 0.8181 0.6713
0.8400 0.8214 0.1803
0.7232 0.2332 0.5000
0.4672 0.3181 0.6713
0.2958 0.1468 0.3287
0.1600 0.6411 0.8197
0.1598 0.1411 0.8197
0.5328 0.6468 0.3287
0.2768 0.7332 0.5000
0.8402 0.3214 0.1803



RbHf2Sn, optimized geometry, DFT PBE; volume = 263.0 Å³/cell; density of states at the Fermi level = 10.46 states/eV per cell; formation enthalpy at 0 K = 943 meV per atom; energy above the lowest structure with this stoichiometry = 0.117 eV/atom; crystal system = tetragonal
1.0
4.9865 0.0000 0.0000
0.0000 4.9865 0.0000
2.4933 2.4933 10.5774
Rb Sn Hf
2 2 4
Direct
0.5000 0.5000 0.0000
0.2500 0.7500 0.5000
0.0000 0.0000 0.0000
0.7500 0.2500 0.5000
0.3750 0.2546 0.7500
0.0046 0.6250 0.2500
0.7454 0.1250 0.2500
0.8750 0.9954 0.7500



UVS2, optimized geometry, DFT PBE; volume = 72.0 Å³/cell; formation energy from raw total energies = -0.55 eV/atom; density of states at the Fermi level = 7.43 states/eV per cell; energy above the lowest structure with this stoichiometry = 0.061 eV/atom; crystal system = trigonal
1.0
-0.5242 1.5153 2.6463
-2.2764 -0.9183 1.8838
4.6033 -5.0781 5.6284
S V U
2 1 1
Direct
0.1080 0.1080 0.6759
0.8920 0.8920 0.3241
0.5000 0.5000 0.5000
0.0000 0.0000 0.0000



Sc2Te, optimized geometry, DFT PBE; volume = 137.1 Å³/cell; formation energy from raw total energies = -0.78 eV/atom; density of states at the Fermi level = 4.39 states/eV per cell; crystal system = tetragonal
1.0
-3.4664 1.4625 -1.6839
-1.9322 -3.5235 0.9172
0.5179 4.0866 7.5280
Te Sc
2 4
Direct
0.8622 0.8622 0.7244
0.1378 0.1378 0.2756
0.3204 0.3204 0.6409
0.6796 0.6796 0.3591
0.5000 0.0000 0.0000
0.0000 0.5000 0.0000



BaRe3Pt, optimized geometry, DFT PBE; volume = 116.6 Å³/cell; density of states at the Fermi level = 8.79 states/eV per cell; formation enthalpy at 0 K = 4031 meV per atom; energy above the lowest structure with this stoichiometry = 2.058 eV/atom; crystal system = cubic
1.0
4.8848 0.0000 0.0000
0.0000 4.8848 0.0000
0.0000 0.0000 4.8848
Ba Re Pt
1 3 1
Direct
0.0000 0.0000 0.0000
0.0000 0.5000 0.0000
0.5000 0.0000 0.0000
0.0000 0.0000 0.5000
0.5000 0.5000 0.5000



What total magnetization values result from the calculations? In sequence: 0.00 0.00 0.00 3.27 0.00 2.73 0.96 0.00 μB per cell.